Computed, not measured: crystalline PmSm2Th at its relaxed geometry at the PBE level of DFT.

Summary:
For the calculated formation energy, the calculation gives 0.02 eV per atom. As for the crystal system: trigonal. The energy above the most stable polymorph in this dataset comes out at 0.0 meV/atom. The calculation puts the density of states at the Fermi level at 6.0 states/eV/cell.

```
PmSm2Th
1.0
3.633 0.000 0.000
1.817 3.147 0.000
1.817 1.049 11.732
Sm Pm Th
2 1 1
direct
0.252 0.252 0.243
0.081 0.081 0.757
0.500 0.500 0.499
0.667 0.667 0.000
```

***

Computed, not measured: crystalline PmSmTh14 at its relaxed geometry at the PBE level of DFT.

Summary:
For the calculated formation energy, the calculation gives 0.04 eV per atom. As for the crystal system: orthorhombic. The calculation puts the density of states at the Fermi level at 19.6 states/eV/cell.

```
PmSmTh14
1.0
7.178 -0.439 0.000
-3.217 6.432 0.000
0.000 0.000 11.624
Th Sm Pm
14 1 1
direct
0.708 0.292 0.000
0.875 0.125 0.249
0.375 0.625 0.248
0.875 0.625 0.752
0.208 0.792 0.000
0.875 0.125 0.751
0.708 0.792 0.000
0.208 0.292 0.000
0.375 0.125 0.752
0.543 0.957 0.500
0.043 0.457 0.500
0.375 0.125 0.248
0.875 0.625 0.248
0.375 0.625 0.752
0.040 0.960 0.500
0.540 0.460 0.500
```

***

Computed, not measured: crystalline PmSmTh3 at its relaxed geometry at the PBE level of DFT.

Summary:
For the calculated formation energy, the calculation gives 0.36 eV per atom. As for the crystal system: orthorhombic. The calculation puts the density of states at the Fermi level at 18.5 states/eV/cell.

```
PmSmTh3
1.0
5.619 0.000 -2.192
-1.693 10.939 -4.340
-0.295 -3.515 7.543
Pm Th Sm
2 6 2
direct
0.000 0.500 0.000
0.500 0.000 0.000
0.330 0.830 0.160
0.000 0.000 0.500
0.000 0.500 0.500
0.670 0.170 0.840
0.670 0.670 0.840
0.330 0.330 0.160
0.700 0.750 0.500
0.300 0.250 0.500
```

***

Computed, not measured: crystalline Pm2Sm8Th at its relaxed geometry at the PBE level of DFT.

Summary:
For the calculated formation energy, the calculation gives 0.03 eV per atom. As for the crystal system: monoclinic. The energy above the most stable polymorph in this dataset comes out at 0.0 meV/atom. The calculation puts the density of states at the Fermi level at 16.2 states/eV/cell.

```
Pm2Sm8Th
1.0
-3.455 3.568 -1.280
1.768 -1.104 -7.850
-5.104 -7.752 2.449
Pm Sm Th
2 8 1
direct
0.228 0.636 0.456
0.772 0.364 0.544
0.956 0.267 0.911
0.680 0.908 0.359
0.044 0.733 0.089
0.410 0.549 0.820
0.134 0.178 0.269
0.320 0.092 0.641
0.866 0.822 0.731
0.590 0.451 0.180
0.500 0.000 0.000
```

***

Computed, not measured: crystalline Pm2Sm6Th3 at its relaxed geometry at the PBE level of DFT.

Summary:
For the calculated formation energy, the calculation gives 0.03 eV per atom. As for the crystal system: trigonal. The calculation puts the density of states at the Fermi level at 16.3 states/eV/cell.

```
Pm2Sm6Th3
1.0
3.610 0.000 0.221
1.798 3.131 0.221
-0.178 -0.103 32.446
Sm Pm Th
6 2 3
direct
0.637 0.637 0.090
0.818 0.818 0.546
0.089 0.089 0.732
0.363 0.363 0.910
0.182 0.182 0.454
0.911 0.911 0.268
0.454 0.454 0.637
0.546 0.546 0.363
0.273 0.273 0.180
0.727 0.727 0.820
0.000 0.000 0.000
```

***

Computed, not measured: crystalline Pm3Sm5Th at its relaxed geometry at the PBE level of DFT.

Summary:
For the calculated formation energy, the calculation gives 0.29 eV per atom. As for the crystal system: tetragonal. The calculation puts the density of states at the Fermi level at 26.7 states/eV/cell.

```
Pm3Sm5Th
1.0
8.523 0.000 0.000
0.000 8.523 0.000
-4.262 -4.262 8.487
Pm Th Sm
6 2 10
direct
0.622 0.122 0.000
0.122 0.378 0.000
0.378 0.878 0.000
0.250 0.250 0.500
0.878 0.622 0.000
0.750 0.750 0.500
0.750 0.250 0.500
0.250 0.750 0.500
0.842 0.930 0.272
0.430 0.342 0.272
0.000 0.000 0.000
0.342 0.842 0.272
0.570 0.658 0.728
0.658 0.158 0.728
0.158 0.070 0.728
0.930 0.430 0.272
0.070 0.570 0.728
0.500 0.500 0.000
```

***

> The highest calculated formation energy belongs to which entry?

PmSmTh3